[1]
NaYZrW | PBE | relaxed

## Properties
Final energy ... -26.8 eV per cell
D(E_F) ... 2.3 states/eV per cell
Symmetry ... Pm (6)
Spin magnetization ... 0.000 μB/f.u.
Formation energy ... 0.63 eV per atom

Lattice parameters (Å, degrees): 3.0792 4.9672 6.2899 90.00 100.39 90.00
Fractional positions:
1 Na 0.0713 0.0000 0.9964
2 Y 0.4558 0.5000 0.7396
3 Zr 0.6664 0.0000 0.4372
4 W 0.8747 0.5000 0.3179

[2]
TmCrP2Rh5 | PBE | relaxed

## Properties
Final energy ... -64.4 eV per cell
D(E_F) ... 6.4 states/eV per cell
Symmetry ... P4/mmm (123)
Spin magnetization ... 4.266 μB/f.u.
Formation energy ... -0.30 eV per atom

Lattice parameters (Å, degrees): 4.3039 4.3039 9.7145 90.00 90.00 90.00
Fractional positions:
1 Tm 0.5000 0.5000 0.5000
2 Rh 0.5000 0.0000 0.7018
3 Rh 0.5000 0.0000 0.2982
4 Rh 0.0000 0.0000 0.5000
5 Rh 0.0000 0.5000 0.2982
6 Rh 0.0000 0.5000 0.7018
7 Cr 0.0000 0.0000 0.0000
8 P 0.0000 0.0000 0.7594
9 P 0.0000 0.0000 0.2406

[3]
MgMnP2 | PBE | relaxed

## Properties
Final energy ... -20.2 eV per cell
D(E_F) ... 1.9 states/eV per cell
Symmetry ... F-43m (216)
Spin magnetization ... 3.210 μB/f.u.
Formation energy ... 0.35 eV per atom

Lattice parameters (Å, degrees): 4.4300 4.4300 4.4300 60.00 60.00 60.00
Fractional positions:
1 P 0.0000 0.0000 0.0000
2 P 0.2500 0.2500 0.2500
3 Mg 0.5000 0.5000 0.5000
4 Mn 0.7500 0.7500 0.7500

[4]
PmPrHgTe | PBE | relaxed

## Properties
Final energy ... -16.7 eV per cell
ΔE_f (raw) ... -0.9212 eV/atom
D(E_F) ... 2.3 states/eV per cell
Symmetry ... R3m (160)
Spin magnetization ... 0.000 μB/f.u.

Lattice parameters (Å, degrees): 4.3338 4.3338 8.2250 74.72 74.72 60.00
Fractional positions:
1 Pm 0.0012 0.0012 0.9963
2 Te 0.7485 0.7485 0.7545
3 Hg 0.2514 0.2514 0.2458
4 Pr 0.4989 0.4989 0.5034

[5]
Pr2Zn3GeAu4 | PBE | relaxed

## Properties
Final energy ... -36.4 eV per cell
D(E_F) ... 6.4 states/eV per cell
Symmetry ... P-4m2 (115)
Spin magnetization ... 0.000 μB/f.u.
Formation energy ... -0.52 eV per atom

Lattice parameters (Å, degrees): 4.4208 4.4208 10.7103 90.00 90.00 90.00
Fractional positions:
1 Pr 0.5000 0.0000 0.2548
2 Pr 0.0000 0.5000 0.7452
3 Zn 0.0000 0.0000 0.5000
4 Zn 0.5000 0.0000 0.8694
5 Zn 0.0000 0.5000 0.1306
6 Au 0.5000 0.5000 0.0000
7 Au 0.5000 0.0000 0.6340
8 Au 0.0000 0.0000 0.0000
9 Au 0.0000 0.5000 0.3660
10 Ge 0.5000 0.5000 0.5000

[6]
BaTb2S4 | PBE | relaxed

## Properties
Final energy ... -85.0 eV per cell
ΔE_f (raw) ... -2.1157 eV/atom
Symmetry ... Cmcm (63)
Spin magnetization ... 0.000 μB/f.u.

Lattice parameters (Å, degrees): 4.0660 6.9461 13.7261 90.00 90.00 107.02
Fractional positions:
1 S 0.7662 0.5324 0.1102
2 S 0.7662 0.5324 0.3898
3 S 0.5000 0.0000 0.5000
4 S 0.5000 0.0000 0.0000
5 S 0.0636 0.1272 0.2500
6 S 0.9364 0.8728 0.7500
7 S 0.2338 0.4676 0.8898
8 S 0.2338 0.4676 0.6102
9 Tb 0.8655 0.7311 0.9327
10 Tb 0.1345 0.2689 0.0673
11 Tb 0.8655 0.7311 0.5673
12 Tb 0.1345 0.2689 0.4327
13 Ba 0.6106 0.2211 0.7500
14 Ba 0.3894 0.7789 0.2500

[7]
TiAs2RuBr | PBE | relaxed

## Properties
Final energy ... -25.5 eV per cell
ΔE_f (raw) ... 0.5339 eV/atom
D(E_F) ... 6.1 states/eV per cell
Symmetry ... P4/mmm (123)
Spin magnetization ... 2.307 μB/f.u.

Lattice parameters (Å, degrees): 4.7118 4.7118 5.2773 90.00 90.00 90.00
Fractional positions:
1 As 0.0000 0.5000 0.0000
2 As 0.5000 0.0000 0.0000
3 Ru 0.0000 0.0000 0.0000
4 Br 0.0000 0.0000 0.5000
5 Ti 0.5000 0.5000 0.5000

[8]
Zn2CoHg | PBE | relaxed

## Properties
Final energy ... -9.6 eV per cell
D(E_F) ... 2.2 states/eV per cell
Symmetry ... P4/mmm (123)
Spin magnetization ... 0.000 μB/f.u.
Formation energy ... 0.09 eV per atom

Lattice parameters (Å, degrees): 2.9243 2.9241 7.3763 90.00 90.00 90.00
Fractional positions:
1 Zn 0.0000 0.0000 0.0610
2 Zn 0.0000 0.0000 0.4390
3 Co 0.5000 0.5000 0.2500
4 Hg 0.5000 0.5000 0.7500